{
  "formula": "Cs2LiNi3F12",
  "functional": "PBE with a Hubbard U",
  "state": "optimized geometry",
  "lattice": [[-3.323, -3.514, 5.229], [-5.566, -4.111, -1.691], [0.784, -7.070, 0.356]],
  "species": ["F", "F", "F", "F", "F", "F", "F", "F", "F", "F", "F", "F", "Ni", "Ni", "Ni", "Li", "Cs", "Cs"],
  "fractional_positions": [[0.682, 0.682, 0.073], [0.318, 0.318, 0.927], [0.927, 0.318, 0.318], [0.336, 0.929, 0.929], [0.073, 0.682, 0.682], [0.071, 0.664, 0.071], [0.682, 0.073, 0.682], [0.664, 0.071, 0.071], [0.071, 0.071, 0.664], [0.929, 0.929, 0.336], [0.318, 0.927, 0.318], [0.929, 0.336, 0.929], [0.500, 0.000, 0.000], [0.000, 0.000, 0.500], [0.000, 0.500, 0.000], [0.000, 0.000, 0.000], [0.374, 0.374, 0.374], [0.626, 0.626, 0.626]],
  "total_energy_ev_per_atom": -4.03,
  "dos_at_fermi_per_ev_fu": 0.05,
  "sg": "R-3m, No. 166"
}